Entry 1:
{"formula": "LaAlN", "functional": "GGA-PBE", "state": "optimized geometry", "lattice_angstrom": [[7.014, 0.000, 0.000], [0.000, 3.494, 0.000], [0.000, 0.000, 5.132]], "species": ["La", "La", "Al", "Al", "N", "N"], "frac_coords": [[0.000, 0.000, 0.000], [0.500, 0.000, 0.000], [0.250, 0.500, 0.474], [0.750, 0.500, 0.526], [0.250, 0.500, 0.112], [0.750, 0.500, 0.888]], "formation_energy_uncorrected_ev_per_atom": -0.745, "energy_ev_per_atom": -6.410, "space_group": "Pmma (51)", "dos_ef_per_ev_atom": 0.420}


Entry 2:
{"formula": "LaPb2N", "functional": "GGA-PBE", "state": "optimized geometry", "lattice_angstrom": [[-4.866, 4.866, 2.394], [4.866, -4.866, 2.394], [4.866, 4.866, -2.394]], "species": ["La", "La", "Pb", "Pb", "Pb", "Pb", "N", "N"], "frac_coords": [[0.000, 0.000, 0.000], [0.750, 0.250, 0.500], [0.239, 0.625, 0.114], [0.375, 0.489, 0.614], [0.511, 0.125, 0.886], [0.875, 0.761, 0.386], [0.250, 0.750, 0.500], [0.500, 0.500, 0.000]], "formation_energy_uncorrected_ev_per_atom": -0.022, "energy_ev_per_atom": -5.190, "space_group": "I-42d (122)", "dos_ef_per_ev_atom": 0.280}


Entry 3:
{"formula": "NbNiMo", "functional": "GGA-PBE", "state": "optimized geometry", "lattice_angstrom": [[2.707, 0.000, 0.000], [1.061, 5.143, 0.000], [0.737, 1.143, 6.469]], "species": ["Nb", "Nb", "Ni", "Ni", "Mo", "Mo"], "frac_coords": [[0.000, 0.000, 0.000], [0.321, 0.401, 0.656], [0.669, 0.844, 0.689], [0.794, 0.676, 0.340], [0.148, 0.117, 0.377], [0.502, 0.476, 0.046]], "relative_energy_mev_per_atom": 55, "energy_ev_per_atom": -8.921, "space_group": "P1 (1)", "dos_ef_per_ev_atom": 0.739}